No. 1
# ZnSb (PBE, optimized geometry)
# - space group = Fd-3m (227)
# - energy (Ha/atom) = -0.088
# - magnetic moment (Bohr magnetons per cell) = 0.0
# - ΔE_f (raw) (eV per formula unit) = 0.6
data_ZnSb
_chemical_formula_sum 'Zn2 Sb2'
_space_group_name_H-M_alt 'P 1'
_space_group_IT_number 1
_cell_length_a 5.0711
_cell_length_b 5.0711
_cell_length_c 5.0711
_cell_angle_alpha 60.00
_cell_angle_beta 60.00
_cell_angle_gamma 60.00
loop_
_space_group_symop_operation_xyz
'x,y,z'
loop_
_atom_site_label
_atom_site_type_symbol
_atom_site_fract_x
_atom_site_fract_y
_atom_site_fract_z
Sb1 Sb 0.0000 0.0000 0.0000
Sb2 Sb 0.7500 0.7500 0.7500
Zn1 Zn 0.5000 0.5000 0.5000
Zn2 Zn 0.2500 0.2500 0.2500

=====

No. 2
# MoIrSN2 (PBE, optimized geometry)
# - space group = P4/mmm (123)
# - energy (Ha/atom) = -0.258
# - E above lowest polymorph (meV/atom) = 16
# - magnetic moment (Bohr magnetons per cell) = 3.2
# - ΔE_f (raw) (eV per formula unit) = 5.4
data_MoIrSN2
_chemical_formula_sum 'Mo1 Ir1 S1 N2'
_space_group_name_H-M_alt 'P 1'
_space_group_IT_number 1
_cell_length_a 3.6790
_cell_length_b 3.6790
_cell_length_c 7.5184
_cell_angle_alpha 90.00
_cell_angle_beta 90.00
_cell_angle_gamma 90.00
loop_
_space_group_symop_operation_xyz
'x,y,z'
loop_
_atom_site_label
_atom_site_type_symbol
_atom_site_fract_x
_atom_site_fract_y
_atom_site_fract_z
Mo1 Mo 0.5000 0.5000 0.5000
Ir1 Ir 0.0000 0.0000 0.0000
S1 S 0.0000 0.0000 0.5000
N1 N 0.0000 0.5000 0.0000
N2 N 0.5000 0.0000 0.0000

=====

No. 3
# Sm4Tm5Mg (PBE, optimized geometry)
# - space group = P4/mmm (123)
# - energy (Ha/atom) = -0.157
# - E above lowest polymorph (meV/atom) = 0
# - magnetic moment (Bohr magnetons per cell) = 0.0
# - calculated formation energy (eV per atom) = 0.0048
data_Sm4Tm5Mg
_chemical_formula_sum 'Sm4 Tm5 Mg1'
_space_group_name_H-M_alt 'P 1'
_space_group_IT_number 1
_cell_length_a 3.5672
_cell_length_b 3.5671
_cell_length_c 24.2400
_cell_angle_alpha 90.00
_cell_angle_beta 90.00
_cell_angle_gamma 90.00
loop_
_space_group_symop_operation_xyz
'x,y,z'
loop_
_atom_site_label
_atom_site_type_symbol
_atom_site_fract_x
_atom_site_fract_y
_atom_site_fract_z
Sm1 Sm 0.0000 0.0000 0.1899
Sm2 Sm 0.0000 0.0000 0.3968
Sm3 Sm 0.0000 0.0000 0.6032
Sm4 Sm 0.0000 0.0000 0.8101
Tm1 Tm 0.5000 0.5000 0.0887
Tm2 Tm 0.5000 0.5000 0.2935
Tm3 Tm 0.5000 0.5000 0.5000
Tm4 Tm 0.5000 0.5000 0.7065
Tm5 Tm 0.5000 0.5000 0.9113
Mg1 Mg 0.0000 0.0000 0.0000

=====

No. 4
# RbPuCu2Cl8 (PBE, optimized geometry)
# - space group = I-4m2 (119)
# - energy (Ha/atom) = -0.160
# - magnetic moment (Bohr magnetons per cell) = 3.0
# - ΔE_f (raw) (eV per formula unit) = -14.1
data_RbPuCu2Cl8
_chemical_formula_sum 'Rb1 Pu1 Cu2 Cl8'
_space_group_name_H-M_alt 'P 1'
_space_group_IT_number 1
_cell_length_a 7.7118
_cell_length_b 7.7118
_cell_length_c 7.7118
_cell_angle_alpha 104.87
_cell_angle_beta 104.87
_cell_angle_gamma 119.12
loop_
_space_group_symop_operation_xyz
'x,y,z'
loop_
_atom_site_label
_atom_site_type_symbol
_atom_site_fract_x
_atom_site_fract_y
_atom_site_fract_z
Rb1 Rb 0.0000 0.0000 0.0000
Pu1 Pu 0.2500 0.7500 0.5000
Cu1 Cu 0.7500 0.2500 0.5000
Cu2 Cu 0.5000 0.5000 0.0000
Cl1 Cl 0.3759 0.0453 0.3306
Cl2 Cl 0.3455 0.5559 0.2104
Cl3 Cl 0.3455 0.1352 0.7896
Cl4 Cl 0.7146 0.0453 0.6694
Cl5 Cl 0.8648 0.6545 0.2104
Cl6 Cl 0.9547 0.2854 0.3306
Cl7 Cl 0.9547 0.6241 0.6694
Cl8 Cl 0.4441 0.6545 0.7896

=====

No. 5
# HfTiGaMo (PBE, optimized geometry)
# - space group = F-43m (216)
# - energy (Ha/atom) = -0.301
# - magnetic moment (Bohr magnetons per cell) = 0.0
# - calculated formation energy (eV per atom) = -0.2652
data_HfTiGaMo
_chemical_formula_sum 'Hf1 Ti1 Ga1 Mo1'
_space_group_name_H-M_alt 'P 1'
_space_group_IT_number 1
_cell_length_a 4.5968
_cell_length_b 4.5968
_cell_length_c 4.5968
_cell_angle_alpha 60.00
_cell_angle_beta 60.00
_cell_angle_gamma 60.00
loop_
_space_group_symop_operation_xyz
'x,y,z'
loop_
_atom_site_label
_atom_site_type_symbol
_atom_site_fract_x
_atom_site_fract_y
_atom_site_fract_z
Mo1 Mo 0.0000 0.0000 0.0000
Hf1 Hf 0.7500 0.7500 0.7500
Ga1 Ga 0.5000 0.5000 0.5000
Ti1 Ti 0.2500 0.2500 0.2500

=====

No. 6
# SrNp2N4 (PBE, optimized geometry)
# - space group = Cmcm (63)
# - energy (Ha/atom) = -0.358
# - magnetic moment (Bohr magnetons per cell) = 8.0
# - ΔE_f (raw) (eV per formula unit) = -7.3
data_SrNp2N4
_chemical_formula_sum 'Sr2 Np4 N8'
_space_group_name_H-M_alt 'P 1'
_space_group_IT_number 1
_cell_length_a 3.4671
_cell_length_b 5.9294
_cell_length_c 10.7984
_cell_angle_alpha 90.00
_cell_angle_beta 90.00
_cell_angle_gamma 107.00
loop_
_space_group_symop_operation_xyz
'x,y,z'
loop_
_atom_site_label
_atom_site_type_symbol
_atom_site_fract_x
_atom_site_fract_y
_atom_site_fract_z
Sr1 Sr 0.6060 0.2121 0.7500
Sr2 Sr 0.3940 0.7879 0.2500
Np1 Np 0.1327 0.2654 0.4316
Np2 Np 0.8673 0.7346 0.9316
Np3 Np 0.1327 0.2654 0.0684
Np4 Np 0.8673 0.7346 0.5684
N1 N 0.7633 0.5266 0.0955
N2 N 0.7633 0.5266 0.4045
N3 N 0.2367 0.4734 0.9045
N4 N 0.2367 0.4734 0.5955
N5 N 0.9380 0.8759 0.7500
N6 N 0.0620 0.1241 0.2500
N7 N 0.5000 0.0000 0.0000
N8 N 0.5000 0.0000 0.5000

=====

No. 7
# Mn2CuNi (PBE, optimized geometry)
# - space group = I-4m2 (119)
# - energy (Ha/atom) = -0.254
# - magnetic moment (Bohr magnetons per cell) = 7.7
# - calculated formation energy (eV per atom) = 0.1335
data_Mn2CuNi
_chemical_formula_sum 'Mn2 Cu1 Ni1'
_space_group_name_H-M_alt 'P 1'
_space_group_IT_number 1
_cell_length_a 4.5681
_cell_length_b 4.5681
_cell_length_c 4.5682
_cell_angle_alpha 132.65
_cell_angle_beta 132.65
_cell_angle_gamma 69.20
loop_
_space_group_symop_operation_xyz
'x,y,z'
loop_
_atom_site_label
_atom_site_type_symbol
_atom_site_fract_x
_atom_site_fract_y
_atom_site_fract_z
Cu1 Cu 0.2500 0.7500 0.5000
Mn1 Mn 0.0000 0.0000 0.0000
Mn2 Mn 0.7500 0.2500 0.5000
Ni1 Ni 0.5000 0.5000 0.0000

=====

No. 8
# Rb2UHg2O6 (PBE, optimized geometry)
# - space group = C2/m (12)
# - energy (Ha/atom) = -0.207
# - magnetic moment (Bohr magnetons per cell) = 0.0
# - ΔE_f (raw) (eV per formula unit) = -18.3
data_Rb2UHg2O6
_chemical_formula_sum 'Rb2 U1 Hg2 O6'
_space_group_name_H-M_alt 'P 1'
_space_group_IT_number 1
_cell_length_a 6.0962
_cell_length_b 6.0962
_cell_length_c 7.4710
_cell_angle_alpha 106.92
_cell_angle_beta 106.92
_cell_angle_gamma 107.24
loop_
_space_group_symop_operation_xyz
'x,y,z'
loop_
_atom_site_label
_atom_site_type_symbol
_atom_site_fract_x
_atom_site_fract_y
_atom_site_fract_z
Rb1 Rb 0.8090 0.1910 0.0000
Rb2 Rb 0.1910 0.8090 0.0000
U1 U 0.0000 0.0000 0.5000
Hg1 Hg 0.3331 0.6669 0.5000
Hg2 Hg 0.6669 0.3331 0.5000
O1 O 0.7477 0.7477 0.5994
O2 O 0.0044 0.2998 0.7187
O3 O 0.2523 0.2523 0.4006
O4 O 0.2998 0.0044 0.7187
O5 O 0.9956 0.7002 0.2813
O6 O 0.7002 0.9956 0.2813

=====

No. 9
# Pm2PuHg (PBE, optimized geometry)
# - space group = R3m (160)
# - energy (Ha/atom) = -0.223
# - E above lowest polymorph (meV/atom) = 76
# - magnetic moment (Bohr magnetons per cell) = 6.5
# - calculated formation energy (eV per atom) = -0.0466
data_Pm2PuHg
_chemical_formula_sum 'Pm2 Pu1 Hg1'
_space_group_name_H-M_alt 'P 1'
_space_group_IT_number 1
_cell_length_a 3.6547
_cell_length_b 3.6547
_cell_length_c 10.7455
_cell_angle_alpha 80.21
_cell_angle_beta 80.21
_cell_angle_gamma 60.00
loop_
_space_group_symop_operation_xyz
'x,y,z'
loop_
_atom_site_label
_atom_site_type_symbol
_atom_site_fract_x
_atom_site_fract_y
_atom_site_fract_z
Pm1 Pm 0.0788 0.0788 0.7635
Pm2 Pm 0.2548 0.2548 0.2357
Pu1 Pu 0.4995 0.4995 0.5015
Hg1 Hg 0.6669 0.6669 0.9993

=====

No. 10
# Ba5Na12Ca3 (PBE, optimized geometry)
# - space group = Ia-3d (230)
# - energy (Ha/atom) = -0.044
# - magnetic moment (Bohr magnetons per cell) = 0.0
# - calculated formation energy (eV per atom) = 0.3814
data_Ba5Na12Ca3
_chemical_formula_sum 'Ba20 Na48 Ca12'
_space_group_name_H-M_alt 'P 1'
_space_group_IT_number 1
_cell_length_a 18.2208
_cell_length_b 18.2208
_cell_length_c 18.2208
_cell_angle_alpha 109.47
_cell_angle_beta 109.47
_cell_angle_gamma 109.47
loop_
_space_group_symop_operation_xyz
'x,y,z'
loop_
_atom_site_label
_atom_site_type_symbol
_atom_site_fract_x
_atom_site_fract_y
_atom_site_fract_z
Ca1 Ca 0.7500 0.3750 0.1250
Ca2 Ca 0.8750 0.7500 0.1250
Ca3 Ca 0.3750 0.7500 0.6250
Ca4 Ca 0.2500 0.1250 0.3750
Ca5 Ca 0.8750 0.1250 0.2500
Ca6 Ca 0.3750 0.6250 0.2500
Ca7 Ca 0.6250 0.3750 0.7500
Ca8 Ca 0.1250 0.8750 0.7500
Ca9 Ca 0.7500 0.8750 0.6250
Ca10 Ca 0.6250 0.2500 0.3750
Ca11 Ca 0.1250 0.2500 0.8750
Ca12 Ca 0.2500 0.6250 0.8750
Ba1 Ba 0.1250 0.3750 0.2500
Ba2 Ba 0.0000 0.5000 0.0000
Ba3 Ba 0.0000 0.0000 0.0000
Ba4 Ba 0.3750 0.2500 0.1250
Ba5 Ba 0.5000 0.0000 0.5000
Ba6 Ba 0.5000 0.5000 0.0000
Ba7 Ba 0.1250 0.7500 0.3750
Ba8 Ba 0.7500 0.1250 0.8750
Ba9 Ba 0.7500 0.6250 0.3750
Ba10 Ba 0.3750 0.1250 0.7500
Ba11 Ba 0.6250 0.8750 0.2500
Ba12 Ba 0.5000 0.5000 0.5000
Ba13 Ba 0.5000 0.0000 0.0000
Ba14 Ba 0.0000 0.0000 0.5000
Ba15 Ba 0.2500 0.3750 0.6250
Ba16 Ba 0.2500 0.8750 0.1250
Ba17 Ba 0.0000 0.5000 0.5000
Ba18 Ba 0.8750 0.2500 0.6250
Ba19 Ba 0.6250 0.7500 0.8750
Ba20 Ba 0.8750 0.6250 0.7500
Na1 Na 0.7387 0.1577 0.0902
Na2 Na 0.3515 0.5902 0.4325
Na3 Na 0.9098 0.3423 0.2613
Na4 Na 0.5902 0.2387 0.1577
Na5 Na 0.5811 0.7387 0.6485
Na6 Na 0.9098 0.5675 0.1485
Na7 Na 0.3515 0.7613 0.4189
Na8 Na 0.0675 0.9189 0.1577
Na9 Na 0.5675 0.9098 0.6485
Na10 Na 0.7387 0.5811 0.1485
Na11 Na 0.7613 0.4098 0.3423
Na12 Na 0.8515 0.9325 0.0902
Na13 Na 0.1577 0.7387 0.5902
Na14 Na 0.3423 0.4325 0.0811
Na15 Na 0.0811 0.9325 0.3423
Na16 Na 0.4189 0.1577 0.5675
Na17 Na 0.0811 0.1485 0.2387
Na18 Na 0.4098 0.6485 0.0675
Na19 Na 0.8515 0.9189 0.2613
Na20 Na 0.1577 0.4189 0.0675
Na21 Na 0.3423 0.9098 0.7613
Na22 Na 0.5675 0.6577 0.4189
Na23 Na 0.9325 0.8515 0.5902
Na24 Na 0.7613 0.3515 0.9189
Na25 Na 0.4325 0.3423 0.5811
Na26 Na 0.0675 0.1485 0.4098
Na27 Na 0.2387 0.6485 0.0811
Na28 Na 0.1485 0.0811 0.7387
Na29 Na 0.6577 0.0902 0.2387
Na30 Na 0.8423 0.5811 0.9325
Na31 Na 0.5902 0.3515 0.9325
Na32 Na 0.5811 0.8423 0.4325
Na33 Na 0.9189 0.8515 0.7613
Na34 Na 0.9189 0.0675 0.6577
Na35 Na 0.8423 0.2613 0.4098
Na36 Na 0.1485 0.0675 0.9098
Na37 Na 0.6577 0.5675 0.9189
Na38 Na 0.4325 0.0902 0.3515
Na39 Na 0.2613 0.4189 0.8515
Na40 Na 0.2387 0.5902 0.6577
Na41 Na 0.9325 0.0811 0.8423
Na42 Na 0.6485 0.2387 0.5811
Na43 Na 0.4098 0.7613 0.8423
Na44 Na 0.0902 0.4325 0.8515
Na45 Na 0.4189 0.2613 0.3515
Na46 Na 0.0902 0.6577 0.7387
Na47 Na 0.6485 0.4098 0.5675
Na48 Na 0.2613 0.8423 0.9098

=====

Q: Among the records above, which one has the lowest energy?
A: SrNp2N4

=====

Q: Which formula does entry 2 have?
A: MoIrSN2